(1)
This record from the Alexandria database describes a relaxed structure of Zr2SnO2. The functional is PBE.

extended XYZ file:
```
10
Lattice="7.4157 0.0000 0.0000 0.0000 7.4157 0.0000 0.0000 0.0000 3.0113" Properties=species:S:1:pos:R:3 pbc="T T T"
Zr 0.9901 2.7177 0.0000
Zr 2.7177 6.4256 0.0000
Zr 4.6979 0.9901 0.0000
Zr 6.4256 4.6979 0.0000
Sn 0.0000 0.0000 0.0000
Sn 3.7078 3.7078 0.0000
O 0.8097 4.5175 1.5057
O 2.8982 0.8097 1.5057
O 4.5175 6.6060 1.5057
O 6.6060 2.8982 1.5057
```

Summary:
Its symmetry is P4/mbm, No. 127. The calculated volume comes out at 16.6 Å³/atom. Its total magnetization is 0.0 μB/cell.

---

(2)
This record from the Alexandria database describes a relaxed structure of Zr2SnO2. The functional is PBE.

extended XYZ file:
```
5
Lattice="-1.8425 1.8425 6.0215 1.8425 -1.8425 6.0215 1.8425 1.8425 -6.0215" Properties=species:S:1:pos:R:3 pbc="T T T"
Zr 0.0000 0.0000 1.8268
Zr 0.0000 0.0000 10.2162
Sn 0.0000 0.0000 6.0215
O 1.8425 0.0000 3.0107
O 0.0000 1.8425 3.0107
```

Summary:
Its symmetry is I4/mmm, No. 139. The calculated volume comes out at 16.4 Å³/atom. Its total magnetization is 0.0 μB/cell.

---

Short version: (2) is the most stable of them.

---

(1)
This record from the Alexandria database describes a relaxed structure of SrO10. The functional is PBE.

extended XYZ file:
```
22
Lattice="6.0669 0.0000 0.0000 0.0000 6.0669 0.0000 0.0000 0.0000 8.9696" Properties=species:S:1:pos:R:3 pbc="T T T"
Sr 0.0000 0.0000 2.2424
Sr 0.0000 0.0000 6.7272
O 0.3663 2.0532 0.6387
O 0.3663 2.0532 8.3309
O 0.3663 4.0137 3.8461
O 0.3663 4.0137 5.1235
O 2.0532 0.3663 3.8461
O 2.0532 0.3663 5.1235
O 2.0532 5.7006 0.6387
O 2.0532 5.7006 8.3309
O 3.0335 3.0335 1.6233
O 3.0335 3.0335 2.8614
O 3.0335 3.0335 6.1081
O 3.0335 3.0335 7.3462
O 4.0137 0.3663 0.6387
O 4.0137 0.3663 8.3309
O 4.0137 5.7006 3.8461
O 4.0137 5.7006 5.1235
O 5.7006 2.0532 3.8461
O 5.7006 2.0532 5.1235
O 5.7006 4.0137 0.6387
O 5.7006 4.0137 8.3309
```

Summary:
Its symmetry is P4/mcc, No. 124. The calculated volume comes out at 15.0 Å³/atom. Its total magnetization is 8.1 μB/cell.

---

(2)
This record from the Alexandria database describes a relaxed structure of SrO10. The functional is PBE.

extended XYZ file:
```
11
Lattice="5.2138 0.0000 0.0000 0.0000 5.2138 0.0000 0.0000 0.0000 5.7841" Properties=species:S:1:pos:R:3 pbc="T T T"
Sr 0.0000 0.0000 0.0000
O 0.0000 2.6069 0.0000
O 1.8476 1.8476 1.4186
O 1.8476 1.8476 4.3655
O 1.8476 3.3663 1.4186
O 1.8476 3.3663 4.3655
O 2.6069 0.0000 0.0000
O 3.3663 1.8476 1.4186
O 3.3663 1.8476 4.3655
O 3.3663 3.3663 1.4186
O 3.3663 3.3663 4.3655
```

Summary:
Its symmetry is P4/mmm, No. 123. The calculated volume comes out at 14.3 Å³/atom. Its total magnetization is 0.1 μB/cell.

---

(3)
This record from the Alexandria database describes a relaxed structure of SrO10. The functional is PBE.

extended XYZ file:
```
11
Lattice="6.3413 0.0000 0.0000 0.0000 6.3413 0.0000 0.0000 0.0000 5.0336" Properties=species:S:1:pos:R:3 pbc="T T T"
Sr 0.0000 0.0000 0.0000
O 1.2143 1.2143 1.8822
O 1.2143 1.2143 3.1513
O 1.2143 5.1270 1.8822
O 1.2143 5.1270 3.1513
O 3.1707 3.1707 0.6179
O 3.1707 3.1707 4.4157
O 5.1270 1.2143 1.8822
O 5.1270 1.2143 3.1513
O 5.1270 5.1270 1.8822
O 5.1270 5.1270 3.1513
```

Summary:
Its symmetry is P4/mmm, No. 123. The calculated volume comes out at 18.4 Å³/atom. Its total magnetization is 4.0 μB/cell.

---

Short version: (1) is the most stable of them.

---

(1)
This record from the Alexandria database describes a relaxed structure of SrTa3O. The functional is PBE.

extended XYZ file:
```
5
Lattice="4.4749 0.0000 0.0000 0.0000 4.4749 0.0000 0.0000 0.0000 4.4749" Properties=species:S:1:pos:R:3 pbc="T T T"
Sr 0.0000 0.0000 0.0000
Ta 0.0000 2.2375 2.2375
Ta 2.2375 0.0000 2.2375
Ta 2.2375 2.2375 0.0000
O 2.2375 2.2375 2.2375
```

Summary:
Its symmetry is Pm-3m, No. 221. The calculated volume comes out at 17.9 Å³/atom. Its total magnetization is 0.0 μB/cell.

---

(2)
This record from the Alexandria database describes a relaxed structure of SrTa3O. The functional is PBE.

extended XYZ file:
```
5
Lattice="4.8979 0.0000 0.0000 0.0000 4.8979 0.0000 0.0000 0.0000 4.8979" Properties=species:S:1:pos:R:3 pbc="T T T"
Sr 0.0000 0.0000 0.0000
Ta 0.0000 0.0000 2.4490
Ta 0.0000 2.4490 0.0000
Ta 2.4490 0.0000 0.0000
O 2.4490 2.4490 2.4490
```

Summary:
Its symmetry is Pm-3m, No. 221. The calculated volume comes out at 23.5 Å³/atom. Its total magnetization is 0.0 μB/cell.

---

Short version: (1) is the most stable of them.

---

(1)
This record from the Alexandria database describes a relaxed structure of Sr2TaO2. The functional is PBE.

extended XYZ file:
```
10
Lattice="7.8048 0.0000 0.0000 0.0000 7.8048 0.0000 0.0000 0.0000 3.0755" Properties=species:S:1:pos:R:3 pbc="T T T"
Sr 1.0951 2.8073 0.0000
Sr 2.8073 6.7097 0.0000
Sr 4.9975 1.0951 0.0000
Sr 6.7097 4.9975 0.0000
Ta 0.0000 0.0000 0.0000
Ta 3.9024 3.9024 0.0000
O 1.1444 5.0468 1.5378
O 2.7580 1.1444 1.5378
O 5.0468 6.6604 1.5378
O 6.6604 2.7580 1.5378
```

Summary:
Its symmetry is P4/mbm, No. 127. The calculated volume comes out at 18.7 Å³/atom. Its total magnetization is 6.0 μB/cell.

---

(2)
This record from the Alexandria database describes a relaxed structure of Sr2TaO2. The functional is PBE.

extended XYZ file:
```
5
Lattice="-2.2639 2.2639 5.6853 2.2639 -2.2639 5.6853 2.2639 2.2639 -5.6853" Properties=species:S:1:pos:R:3 pbc="T T T"
Sr 0.0000 0.0000 1.9815
Sr 0.0000 0.0000 9.3891
Ta 0.0000 0.0000 5.6853
O 2.2639 0.0000 2.8427
O 0.0000 2.2639 2.8427
```

Summary:
Its symmetry is I4/mmm, No. 139. The calculated volume comes out at 23.3 Å³/atom. Its total magnetization is 3.2 μB/cell.

---

Short version: (2) is the most stable of them.